# 1
Below is a geometry-optimized Ca3Si2SnAu6 structure, with properties calculated at the GGA-PBE level.

Summary:
Formation energy from raw total energies, eV/atom: -0.386
Total magnetic moment, μB per formula unit: 0.00
Space group: No. 164
Crystal system: trigonal

Cell lengths 6.124, 6.124, 9.522 Å; angles 90.00, 90.00, 120.00 degrees
Atoms (fractional coordinates):
Au 0.836 0.673 0.727
Au 0.164 0.327 0.273
Au 0.164 0.836 0.273
Au 0.327 0.164 0.727
Au 0.836 0.164 0.727
Au 0.673 0.836 0.273
Si 0.667 0.333 0.903
Si 0.333 0.667 0.097
Ca 0.667 0.333 0.219
Ca 0.333 0.667 0.781
Ca 0.000 0.000 0.000
Sn 0.000 0.000 0.500

***

# 2
Below is a geometry-optimized SrCaSi2Au5 structure, with properties calculated at the GGA-PBE level.

Summary:
Formation energy from raw total energies, eV/atom: -0.453
Total magnetic moment, μB per formula unit: 0.00
Space group: No. 123
Crystal system: tetragonal

Cell lengths 4.754, 4.754, 9.743 Å; angles 90.00, 90.00, 90.00 degrees
Atoms (fractional coordinates):
Au 0.000 0.500 0.800
Au 0.500 0.000 0.200
Au 0.500 0.500 0.500
Au 0.500 0.000 0.800
Au 0.000 0.500 0.200
Ca 0.000 0.000 0.000
Si 0.500 0.500 0.747
Si 0.500 0.500 0.253
Sr 0.000 0.000 0.500

***

# 3
Below is a geometry-optimized Ca2SiTcAu structure, with properties calculated at the GGA-PBE level.

Summary:
Formation energy from raw total energies, eV/atom: 0.637
Total magnetic moment, μB per formula unit: 3.72
Space group: No. 123
Crystal system: tetragonal

Cell lengths 5.607, 4.573, 5.607 Å; angles 90.00, 90.00, 90.00 degrees
Atoms (fractional coordinates):
Si 0.000 0.000 0.000
Ca 0.500 0.000 0.000
Ca 0.000 0.000 0.500
Tc 0.500 0.500 0.500
Au 0.000 0.500 0.000

***

# 4
Below is a geometry-optimized CaSiTeAu2 structure, with properties calculated at the GGA-PBE level.

Summary:
Formation energy from raw total energies, eV/atom: 0.335
Total magnetic moment, μB per formula unit: 0.00
Space group: No. 123
Crystal system: tetragonal

Cell lengths 5.347, 5.181, 5.347 Å; angles 90.00, 90.00, 90.00 degrees
Atoms (fractional coordinates):
Te 0.000 0.000 0.000
Si 0.000 0.500 0.000
Au 0.000 0.000 0.500
Au 0.500 0.000 0.000
Ca 0.500 0.500 0.500

***

# 5
Below is a geometry-optimized CaTl2Si3Au12 structure, with properties calculated at the GGA-PBE level.

Summary:
Formation energy from raw total energies, eV/atom: -0.023
Total magnetic moment, μB per formula unit: 0.00
Space group: No. 166
Crystal system: trigonal

Cell lengths 7.659, 7.659, 7.659 Å; angles 72.66, 72.66, 72.66 degrees
Atoms (fractional coordinates):
Ca 0.000 0.000 0.000
Au 0.605 0.163 0.163
Au 0.702 0.146 0.702
Au 0.298 0.298 0.854
Au 0.163 0.163 0.605
Au 0.702 0.702 0.146
Au 0.146 0.702 0.702
Au 0.395 0.837 0.837
Au 0.837 0.837 0.395
Au 0.837 0.395 0.837
Au 0.163 0.605 0.163
Au 0.854 0.298 0.298
Au 0.298 0.854 0.298
Si 0.000 0.000 0.500
Si 0.500 0.000 0.000
Si 0.000 0.500 0.000
Tl 0.592 0.592 0.592
Tl 0.408 0.408 0.408

***

# 6
Below is a geometry-optimized CaTl2Si2Au7 structure, with properties calculated at the GGA-PBE level.

Summary:
Formation energy from raw total energies, eV/atom: -0.230
Total magnetic moment, μB per formula unit: 0.00
Space group: No. 12
Crystal system: monoclinic

Cell lengths 4.855, 4.855, 11.852 Å; angles 83.85, 83.85, 90.00 degrees
Atoms (fractional coordinates):
Si 0.327 0.327 0.211
Si 0.673 0.673 0.789
Tl 0.120 0.120 0.618
Tl 0.880 0.880 0.382
Au 0.552 0.135 0.825
Au 0.569 0.569 0.601
Au 0.865 0.448 0.175
Au 0.448 0.865 0.175
Au 0.431 0.431 0.399
Au 0.135 0.552 0.825
Au 0.500 0.500 0.000
Ca 0.000 0.000 0.000

***

# 7
Below is a geometry-optimized CaTmSiAu structure, with properties calculated at the GGA-PBE level.

Summary:
Formation energy from raw total energies, eV/atom: -0.647
Total magnetic moment, μB per formula unit: 0.00
Space group: No. 216
Crystal system: cubic

Cell lengths 5.031, 5.031, 5.031 Å; angles 60.00, 60.00, 60.00 degrees
Atoms (fractional coordinates):
Au 0.750 0.750 0.750
Si 0.250 0.250 0.250
Tm 0.500 0.500 0.500
Ca 0.000 0.000 0.000

***

# 8
Below is a geometry-optimized Ca2YSi3Au12 structure, with properties calculated at the GGA-PBE level.

Summary:
Formation energy from raw total energies, eV/atom: -0.197
Total magnetic moment, μB per formula unit: 0.00
Space group: No. 166
Crystal system: trigonal

Cell lengths 7.855, 7.855, 7.855 Å; angles 69.38, 69.38, 69.38 degrees
Atoms (fractional coordinates):
Au 0.844 0.844 0.398
Au 0.304 0.850 0.304
Au 0.156 0.156 0.602
Au 0.398 0.844 0.844
Au 0.696 0.150 0.696
Au 0.150 0.696 0.696
Au 0.850 0.304 0.304
Au 0.156 0.602 0.156
Au 0.696 0.696 0.150
Au 0.304 0.304 0.850
Au 0.602 0.156 0.156
Au 0.844 0.398 0.844
Ca 0.406 0.406 0.406
Ca 0.594 0.594 0.594
Si 0.000 0.000 0.500
Si 0.500 0.000 0.000
Si 0.000 0.500 0.000
Y 0.000 0.000 0.000

***

# 9
Below is a geometry-optimized Ca2YSiAu structure, with properties calculated at the GGA-PBE level.

Summary:
Formation energy from raw total energies, eV/atom: 0.014
Total magnetic moment, μB per formula unit: 0.00
Space group: No. 123
Crystal system: tetragonal

Cell lengths 5.637, 4.775, 5.637 Å; angles 90.00, 90.00, 90.00 degrees
Atoms (fractional coordinates):
Au 0.000 0.000 0.000
Ca 0.500 0.000 0.000
Ca 0.000 0.000 0.500
Si 0.000 0.500 0.000
Y 0.500 0.500 0.500

***

# 10
Below is a geometry-optimized Ca3ZnSi2Au9 structure, with properties calculated at the GGA-PBE level.

Summary:
Formation energy from raw total energies, eV/atom: -0.377
Total magnetic moment, μB per formula unit: 0.00
Space group: No. 164
Crystal system: trigonal

Cell lengths 6.571, 6.571, 9.346 Å; angles 90.00, 90.00, 120.00 degrees
Atoms (fractional coordinates):
Au 0.707 0.854 0.291
Au 0.854 0.707 0.709
Au 0.146 0.293 0.291
Au 0.500 0.000 0.000
Au 0.854 0.146 0.709
Au 0.000 0.500 0.000
Au 0.146 0.854 0.291
Au 0.500 0.500 0.000
Au 0.293 0.146 0.709
Zn 0.000 0.000 0.500
Ca 0.000 0.000 0.000
Ca 0.333 0.667 0.705
Ca 0.667 0.333 0.295
Si 0.667 0.333 0.827
Si 0.333 0.667 0.173

***

# 11
Below is a geometry-optimized Ca2ZnSi4Au3 structure, with properties calculated at the GGA-PBE level.

Summary:
Formation energy from raw total energies, eV/atom: -0.421
Total magnetic moment, μB per formula unit: 0.00
Space group: No. 115
Crystal system: tetragonal

Cell lengths 4.213, 4.213, 10.775 Å; angles 90.00, 90.00, 90.00 degrees
Atoms (fractional coordinates):
Si 0.500 0.500 0.000
Si 0.500 0.000 0.636
Si 0.000 0.500 0.364
Si 0.000 0.000 0.000
Au 0.000 0.000 0.500
Au 0.500 0.000 0.863
Au 0.000 0.500 0.137
Ca 0.000 0.500 0.743
Ca 0.500 0.000 0.257
Zn 0.500 0.500 0.500

***

# 12
Below is a geometry-optimized CaZn2SiAu5 structure, with properties calculated at the GGA-PBE level.

Summary:
Formation energy from raw total energies, eV/atom: -0.220
Total magnetic moment, μB per formula unit: 0.00
Space group: No. 71
Crystal system: orthorhombic

Cell lengths 4.765, 5.838, 7.777 Å; angles 112.05, 107.84, 90.00 degrees
Atoms (fractional coordinates):
Au 0.352 0.592 0.704
Au 0.352 0.112 0.704
Au 0.648 0.408 0.296
Au 0.000 0.000 0.000
Au 0.648 0.888 0.296
Si 0.500 0.000 0.000
Zn 0.809 0.809 0.617
Zn 0.191 0.191 0.383
Ca 0.000 0.500 0.000

***

# 13
Below is a geometry-optimized Ca2ZnSiAu6 structure, with properties calculated at the GGA-PBE level.

Summary:
Formation energy from raw total energies, eV/atom: -0.324
Total magnetic moment, μB per formula unit: 0.00
Space group: No. 225
Crystal system: cubic

Cell lengths 6.881, 6.881, 6.881 Å; angles 60.00, 60.00, 90.00 degrees
Atoms (fractional coordinates):
Au 0.754 0.246 0.000
Au 0.246 0.754 0.000
Au 0.754 0.754 0.492
Au 0.246 0.246 0.000
Au 0.754 0.754 0.000
Au 0.246 0.246 0.508
Ca 0.750 0.250 0.500
Ca 0.250 0.750 0.500
Zn 0.500 0.500 0.000
Si 0.000 0.000 0.000

***

# 14
Below is a geometry-optimized CaSm5Au6 structure, with properties calculated at the GGA-PBE level.

Summary:
Total magnetic moment, μB per formula unit: 0.00
Space group: No. 65
Calculated formation energy, eV per atom: -0.8034
Crystal system: orthorhombic

Cell lengths 5.189, 7.326, 8.223 Å; angles 90.00, 71.61, 90.00 degrees
Atoms (fractional coordinates):
Sm 0.666 0.500 0.668
Sm 0.000 0.500 0.000
Sm 0.336 0.000 0.327
Sm 0.334 0.500 0.332
Sm 0.664 0.000 0.673
Ca 0.000 0.000 0.000
Au 0.830 0.749 0.341
Au 0.830 0.251 0.341
Au 0.500 0.258 0.000
Au 0.170 0.749 0.659
Au 0.500 0.742 0.000
Au 0.170 0.251 0.659

***

# 15
Below is a geometry-optimized Ca2SmAu9 structure, with properties calculated at the GGA-PBE level.

Summary:
Total magnetic moment, μB per formula unit: 0.00
Space group: No. 166
Calculated formation energy, eV per atom: -0.5218
Crystal system: trigonal

Cell lengths 5.571, 5.571, 10.072 Å; angles 73.94, 73.94, 60.00 degrees
Atoms (fractional coordinates):
Au 0.500 0.500 0.500
Au 0.667 0.667 0.998
Au 0.083 0.586 0.745
Au 0.333 0.333 0.002
Au 0.586 0.586 0.745
Au 0.586 0.083 0.745
Au 0.414 0.917 0.255
Au 0.414 0.414 0.255
Au 0.917 0.414 0.255
Ca 0.142 0.142 0.575
Ca 0.858 0.858 0.425
Sm 0.000 0.000 0.000

***

# 16
Below is a geometry-optimized Ca2SmAu structure, with properties calculated at the GGA-PBE level.

Summary:
Total magnetic moment, μB per formula unit: 0.00
Space group: No. 123
Calculated formation energy, eV per atom: -0.3319
Crystal system: tetragonal

Cell lengths 3.580, 3.580, 9.600 Å; angles 90.00, 90.00, 90.00 degrees
Atoms (fractional coordinates):
Sm 0.500 0.500 0.500
Ca 0.000 0.000 0.190
Ca 0.000 0.000 0.810
Au 0.500 0.500 0.000

***

# 17
Below is a geometry-optimized CaSm2Au3 structure, with properties calculated at the GGA-PBE level.

Summary:
Total magnetic moment, μB per formula unit: 0.00
Space group: No. 123
Calculated formation energy, eV per atom: -0.8019
Crystal system: tetragonal

Cell lengths 3.658, 3.658, 11.100 Å; angles 90.00, 90.00, 90.00 degrees
Atoms (fractional coordinates):
Ca 0.500 0.500 0.500
Sm 0.500 0.500 0.169
Sm 0.500 0.500 0.831
Au 0.000 0.000 0.324
Au 0.000 0.000 0.000
Au 0.000 0.000 0.676

***

# 18
Below is a geometry-optimized Ca2SmAu6 structure, with properties calculated at the GGA-PBE level.

Summary:
Total magnetic moment, μB per formula unit: 0.00
Space group: No. 12
Calculated formation energy, eV per atom: -0.6795
Crystal system: monoclinic

Cell lengths 5.370, 5.336, 8.490 Å; angles 71.69, 80.83, 59.54 degrees
Atoms (fractional coordinates):
Ca 0.500 0.166 0.167
Ca 0.500 0.834 0.833
Au 0.163 0.503 0.833
Au 0.670 0.672 0.500
Au 0.837 0.164 0.833
Au 0.163 0.836 0.167
Au 0.330 0.328 0.500
Au 0.837 0.497 0.167
Sm 0.000 0.000 0.500

***

# 19
Below is a geometry-optimized Ca3SmAu4 structure, with properties calculated at the GGA-PBE level.

Summary:
Total magnetic moment, μB per formula unit: 0.00
Space group: No. 229
Calculated formation energy, eV per atom: -0.7907
Crystal system: cubic

Cell lengths 6.302, 6.302, 6.302 Å; angles 109.47, 109.47, 109.47 degrees
Atoms (fractional coordinates):
Ca 0.000 0.500 0.500
Ca 0.500 0.500 0.000
Ca 0.500 0.000 0.500
Au 0.000 0.000 0.500
Au 0.000 0.500 0.000
Au 0.500 0.500 0.500
Au 0.500 0.000 0.000
Sm 0.000 0.000 0.000

***

# 20
Below is a geometry-optimized CaSm2Au6 structure, with properties calculated at the GGA-PBE level.

Summary:
Total magnetic moment, μB per formula unit: 0.00
Space group: No. 191
Calculated formation energy, eV per atom: -0.7329
Crystal system: hexagonal

Cell lengths 3.539, 8.224, 8.224 Å; angles 120.00, 90.00, 90.00 degrees
Atoms (fractional coordinates):
Sm 0.000 0.667 0.333
Sm 0.000 0.333 0.667
Au 0.500 0.667 0.667
Au 0.500 0.667 0.000
Au 0.500 0.000 0.333
Au 0.500 0.333 0.000
Au 0.500 0.333 0.333
Au 0.500 0.000 0.667
Ca 0.000 0.000 0.000

***

# 21
Below is a geometry-optimized Ca4SmAu5 structure, with properties calculated at the GGA-PBE level.

Summary:
Total magnetic moment, μB per formula unit: 0.00
Space group: No. 123
Calculated formation energy, eV per atom: -0.7936
Crystal system: tetragonal

Cell lengths 3.671, 3.671, 18.048 Å; angles 90.00, 90.00, 90.00 degrees
Atoms (fractional coordinates):
Au 0.500 0.500 0.904
Au 0.500 0.500 0.500
Au 0.500 0.500 0.302
Au 0.500 0.500 0.698
Au 0.500 0.500 0.096
Ca 0.000 0.000 0.202
Ca 0.000 0.000 0.401
Ca 0.000 0.000 0.599
Ca 0.000 0.000 0.798
Sm 0.000 0.000 0.000

***

# 22
Below is a geometry-optimized Ca2SmAu2 structure, with properties calculated at the GGA-PBE level.

Summary:
Total magnetic moment, μB per formula unit: 0.00
Space group: No. 11
Calculated formation energy, eV per atom: -0.6320
Crystal system: monoclinic

Cell lengths 5.035, 5.183, 10.941 Å; angles 90.01, 90.00, 90.00 degrees
Atoms (fractional coordinates):
Au 0.750 0.750 0.169
Au 0.250 0.249 0.491
Au 0.750 0.751 0.509
Au 0.250 0.250 0.831
Sm 0.750 0.251 0.660
Sm 0.250 0.749 0.340
Ca 0.750 0.250 0.000
Ca 0.250 0.750 0.000
Ca 0.250 0.750 0.672
Ca 0.750 0.250 0.328

***

# 23
Below is a geometry-optimized Ca2SmAu4 structure, with properties calculated at the GGA-PBE level.

Summary:
Total magnetic moment, μB per formula unit: 0.00
Space group: No. 139
Calculated formation energy, eV per atom: -0.6475
Crystal system: tetragonal

Cell lengths 5.244, 5.244, 7.573 Å; angles 110.26, 110.26, 90.00 degrees
Atoms (fractional coordinates):
Au 0.883 0.383 0.766
Au 0.383 0.883 0.766
Au 0.617 0.117 0.234
Au 0.117 0.617 0.234
Ca 0.274 0.274 0.548
Ca 0.726 0.726 0.452
Sm 0.000 0.000 0.000